# 1
DFT (PBE) results for an optimized crystal structure of ThNi4Ge.

Properties
Its volume is 88 Å³/cell. The raw total energy comes out at -6.22 eV per atom. The total magnetization comes out at 0.002 μB per formula unit.

Cell and atoms, written as extended XYZ:
```
6
Lattice="-2.296 -0.448 4.418 1.169 -3.782 3.053 2.518 0.886 4.227" Properties=species:S:1:pos:R:3 pbc="T T T"
Ni 0.281 -0.185 5.784
Ni 2.030 -1.868 5.095
Ge 0.000 0.000 0.000
Th 0.348 -0.836 2.924
Ni -0.400 -2.541 5.191
Ni 0.871 -2.094 7.325
```

=====

# 2
DFT (PBE) results for an optimized crystal structure of ZnCdPd.

Properties
Its volume is 50 Å³/cell. The raw total energy comes out at -2.77 eV per atom. The total magnetization comes out at 0.000 μB per formula unit.

Cell and atoms, written as extended XYZ:
```
3
Lattice="-2.654 1.510 -1.029 -1.587 -2.804 -0.019 0.758 1.387 5.126" Properties=species:S:1:pos:R:3 pbc="T T T"
Cd -0.770 0.418 2.601
Zn -3.397 0.046 3.786
Pd -2.391 -0.500 0.389
```

=====

# 3
DFT (PBE) results for an optimized crystal structure of CeTh2Ge2Ru5.

Properties
Its volume is 379 Å³/cell. The raw total energy comes out at -8.12 eV per atom. The total magnetization comes out at 0.000 μB per formula unit.

Cell and atoms, written as extended XYZ:
```
20
Lattice="-2.069 -2.437 1.666 -0.321 -5.593 -8.581 8.386 -5.073 2.993" Properties=species:S:1:pos:R:3 pbc="T T T"
Ru 3.657 -5.714 0.084
Ru 6.509 -10.332 -3.132
Ru -1.195 -4.015 -3.458
Ru 0.460 -7.502 -6.504
Th 6.838 -6.034 -0.336
Ge 5.190 -3.855 0.806
Ru 4.768 -8.030 -1.926
Ru 5.537 -5.601 2.582
Ce 4.033 -5.333 -2.794
Ge 7.150 -7.934 -2.728
Ru -0.512 -2.771 -0.790
Th 5.371 -8.040 -5.093
Th 2.695 -2.626 -0.496
Ru 1.229 -5.074 -1.997
Ru 2.339 -7.390 -4.006
Ge 0.916 -2.732 -2.860
Ge 2.876 -6.811 -6.394
Ru 3.159 -3.755 2.330
Th 1.228 -4.632 -5.253
Ce 0.000 0.000 0.000
```

=====

# 4
DFT (PBE) results for an optimized crystal structure of FeSeCl2.

Properties
Its volume is 116 Å³/cell. The raw total energy comes out at -4.24 eV per atom. The total magnetization comes out at 3.964 μB per formula unit.

Cell and atoms, written as extended XYZ:
```
4
Lattice="6.642 0.126 0.357 5.883 3.086 0.357 2.882 0.739 6.059" Properties=species:S:1:pos:R:3 pbc="T T T"
Se 2.865 0.735 2.652
Fe 7.337 1.882 2.623
Cl 12.404 3.181 4.364
Cl 0.502 0.129 0.521
```

=====

# 5
DFT (PBE) results for an optimized crystal structure of PmCo2Tc.

Properties
Its volume is 72 Å³/cell. The raw total energy comes out at -7.31 eV per atom. The total magnetization comes out at 0.001 μB per formula unit.

Cell and atoms, written as extended XYZ:
```
4
Lattice="-3.077 2.057 1.741 -3.853 -1.281 -0.491 -1.890 -2.568 4.498" Properties=species:S:1:pos:R:3 pbc="T T T"
Co -2.137 -0.905 2.097
Co -6.683 -0.887 3.650
Pm 0.000 0.000 0.000
Tc -4.410 -0.896 2.874
```

=====

# 6
DFT (PBE) results for an optimized crystal structure of Tb2YMgAu4.

Properties
Its volume is 180 Å³/cell. The raw total energy comes out at -4.61 eV per atom. The total magnetization comes out at 0.000 μB per formula unit.

Cell and atoms, written as extended XYZ:
```
8
Lattice="-3.253 -3.801 -0.292 0.965 -4.312 2.365 -4.653 0.110 7.409" Properties=species:S:1:pos:R:3 pbc="T T T"
Tb -1.793 -1.959 2.470
Au -4.967 -2.919 7.324
Au -3.724 -7.074 4.553
Mg -3.471 -4.001 4.741
Y 0.000 0.000 0.000
Tb -5.148 -6.043 7.012
Au -1.975 -5.083 2.158
Au -3.217 -0.929 4.929
```

=====

> What is the volume in the sixth record?

180 Å³/cell

=====

> Look up the volume of the second one.

50 Å³/cell

=====

Repeat the third record exactly.
DFT (PBE) results for an optimized crystal structure of CeTh2Ge2Ru5.

Properties
Its volume is 379 Å³/cell. The raw total energy comes out at -8.12 eV per atom. The total magnetization comes out at 0.000 μB per formula unit.

Cell and atoms, written as extended XYZ:
```
20
Lattice="-2.069 -2.437 1.666 -0.321 -5.593 -8.581 8.386 -5.073 2.993" Properties=species:S:1:pos:R:3 pbc="T T T"
Ru 3.657 -5.714 0.084
Ru 6.509 -10.332 -3.132
Ru -1.195 -4.015 -3.458
Ru 0.460 -7.502 -6.504
Th 6.838 -6.034 -0.336
Ge 5.190 -3.855 0.806
Ru 4.768 -8.030 -1.926
Ru 5.537 -5.601 2.582
Ce 4.033 -5.333 -2.794
Ge 7.150 -7.934 -2.728
Ru -0.512 -2.771 -0.790
Th 5.371 -8.040 -5.093
Th 2.695 -2.626 -0.496
Ru 1.229 -5.074 -1.997
Ru 2.339 -7.390 -4.006
Ge 0.916 -2.732 -2.860
Ge 2.876 -6.811 -6.394
Ru 3.159 -3.755 2.330
Th 1.228 -4.632 -5.253
Ce 0.000 0.000 0.000
```